No. 1
This record from Alexandria via LeMat-Bulk describes a relaxed structure of RbNaCu2F8. The functional is PBE.

abc: 5.8820 5.8820 6.5323
angles: 116.76 116.76 90.00
Fractional coordinates of all 12 atoms:
Cu  0.5000  0.5000  0.0000
Cu  0.2500  0.7500  0.5000
F  0.7556  0.3368  0.9888
F  0.2332  0.6521  0.9888
F  0.5654  0.7754  0.5295
F  0.2459  0.4346  0.4705
F  0.9640  0.7541  0.5295
F  0.2246  0.0360  0.4705
F  0.3479  0.2444  0.0112
F  0.6632  0.7668  0.0112
Na  0.0000  0.0000  0.0000
Rb  0.7500  0.2500  0.5000

magnetization	0.0	Bohr magnetons per cell
ΔE_f (raw)	-1.877	eV/atom
mass density	3.7	Mg/m³

=====

No. 2
This record from Alexandria via LeMat-Bulk describes a relaxed structure of NaCuReF2. The functional is PBE.

abc: 4.0538 6.5410 4.0538
angles: 90.00 90.00 90.00
Fractional coordinates of all 5 atoms:
F  0.5000  0.0000  0.0000
F  0.0000  0.0000  0.5000
Re  0.0000  0.0000  0.0000
Na  0.0000  0.5000  0.0000
Cu  0.5000  0.5000  0.5000

magnetization	2.9	Bohr magnetons per cell
ΔE_f (raw)	-0.037	eV/atom
mass density	4.8	Mg/m³

=====

No. 3
This record from Alexandria via LeMat-Bulk describes a relaxed structure of NaCu2ReF. The functional is PBE.

abc: 4.4044 4.4044 3.8633
angles: 90.00 90.00 90.00
Fractional coordinates of all 5 atoms:
Re  0.5000  0.5000  0.5000
F  0.0000  0.0000  0.0000
Cu  0.5000  0.0000  0.0000
Cu  0.0000  0.5000  0.0000
Na  0.0000  0.0000  0.5000

magnetization	3.3	Bohr magnetons per cell
ΔE_f (raw)	0.566	eV/atom
mass density	7.9	Mg/m³